Arrangement i

Compound: RbBa5
Source: Alexandria
Functional: GGA-PBE
Structure: relaxed

It has space group P4/mmm (No. 123), with a = 4.4613 Å, b = 4.4613 Å, c = 20.3964 Å, α = 90.00°, β = 90.00° and γ = 90.00°. The asymmetric unit holds Rb at (0.0000, 0.0000, 0.0000), Ba at (0.0000, 0.0000, 0.3425), Ba at (0.5000, 0.5000, 0.1828) and Ba at (0.5000, 0.5000, 0.5000).


Arrangement ii

Compound: RbBa5
Source: Alexandria
Functional: GGA-PBE
Structure: relaxed

It has space group Cmmm (No. 65), with a = 7.2869 Å, b = 21.9098 Å, c = 4.9921 Å, α = 90.00°, β = 90.00° and γ = 90.00°. The asymmetric unit holds Rb at (0.0000, 0.0000, 0.0000), Ba at (0.0000, 0.1702, 0.5000), Ba at (0.0000, 0.3313, 0.0000) and Ba at (0.0000, 0.5000, 0.5000).


Which structure wins on stability? arrangement i wins.


Arrangement i

Compound: RbBa2Re
Source: Alexandria
Functional: GGA-PBE
Structure: relaxed

It has space group I-42d (No. 122), with a = 9.0282 Å, b = 9.0282 Å, c = 12.8035 Å, α = 90.00°, β = 90.00° and γ = 90.00°. The asymmetric unit holds Rb at (0.0000, 0.0000, 0.0000), Ba at (0.0013, 0.2500, 0.6250) and Re at (0.0000, 0.0000, 0.5000).


Arrangement ii

Compound: RbBa2Re
Source: Alexandria
Functional: GGA-PBE
Structure: relaxed

It has space group Fm-3m (No. 225), with a = 8.4425 Å, b = 8.4425 Å, c = 8.4425 Å, α = 90.00°, β = 90.00° and γ = 90.00°. The asymmetric unit holds Rb at (0.0000, 0.0000, 0.0000), Ba at (0.2500, 0.2500, 0.2500) and Re at (0.0000, 0.0000, 0.5000).


Which structure wins on stability? arrangement i wins.